(1)
Compound: ZnCr2Co3
Source: Alexandria
Functional: PBE
Structure: optimized geometry

Computed properties:
Density of states at the Fermi level = 4.901 states/eV/f.u.
Raw total energy = -6.9068 eV/atom
Energy of formation = 66 meV per atom

Unit cell a=2.8285 b=2.8285 c=8.7129 alpha=90.00 beta=90.00 gamma=90.00
With the nearest neighbours (Å) after each atom.
Space group P4/mmm (No. 123)
Symmetry-distinct sites (fractional):
Zn 0.0000 0.0000 0.0000 [1 per cell]  8 Co 2.56, 4 Zn 2.83
Cr 0.0000 0.0000 0.3334 [2 per cell]  8 Co 2.39-2.47
Co 0.5000 0.5000 0.1827 [2 per cell]  4 Cr 2.39, 4 Zn 2.56
Co 0.5000 0.5000 0.5000 [1 per cell]  8 Cr 2.47, 2 Co 2.76



(2)
Compound: ZnCrCo3
Source: Alexandria
Functional: PBE
Structure: optimized geometry

Computed properties:
Density of states at the Fermi level = 5.059 states/eV/f.u.
Raw total energy = -5.3616 eV/atom
Energy of formation = 1081 meV per atom
Energy above the lowest structure with this stoichiometry = 0 meV per atom

Unit cell a=4.1636 b=4.1636 c=4.1636 alpha=90.00 beta=90.00 gamma=90.00
With the nearest neighbours (Å) after each atom.
Space group Pm-3m (No. 221)
Symmetry-distinct sites (fractional):
Zn 0.0000 0.0000 0.0000 [1 per cell]  12 Co 2.94
Cr 0.5000 0.5000 0.5000 [1 per cell]  6 Co 2.08
Co 0.0000 0.5000 0.5000 [3 per cell]  2 Cr 2.08